# TaWO2F | the Alexandria database | PBE+U | relaxed
data_TaWO2F
_cell_length_a 4.157
_cell_length_b 4.157
_cell_length_c 4.152
_cell_angle_alpha 90.00
_cell_angle_beta 90.00
_cell_angle_gamma 90.00
_symmetry_space_group_name_H-M 'P 4/m m m'
_symmetry_Int_Tables_number 123
_symmetry_space_group_name_Hall '-P 4 2'
loop_
_atom_site_label
_atom_site_type_symbol
_atom_site_fract_x
_atom_site_fract_y
_atom_site_fract_z
Ta1 Ta 0.000 0.000 0.000
W1 W 0.500 0.500 0.500
O1 O 0.000 0.500 0.500
F1 F 0.500 0.500 0.000
# - magnetization (Bohr magnetons per cell) = 5.80
# - uncorrected energy (eV/atom) = -6.635